The following is a PBE+U calculation of CeCo3Cu4O12 after structural relaxation, from Alexandria.

Cell: 7.3648 7.3648 7.3648 Å, 90.00 90.00 90.00°
Space group Im-3 (No. 204)
Asymmetric unit:
1 Ce 0.0000 0.0000 0.0000 [2 per cell]
2 Co 0.0000 0.0000 0.5000 [6 per cell]
3 Cu 0.2500 0.2500 0.2500 [8 per cell]
4 O 0.0000 0.1701 0.3073 [24 per cell]

Calculated values
Its total energy is -5.8658 eV per atom.